1.
# Ce2Pm3Rh4 | Alexandria | PBE | optimized geometry
data_Ce2Pm3Rh4
_chemical_formula_sum 'Ce4 Pm6 Rh8'
_cell_length_a 11.333
_cell_length_b 4.147
_cell_length_c 9.371
_cell_angle_alpha 90.00
_cell_angle_beta 98.77
_cell_angle_gamma 90.00
_symmetry_space_group_name_H-M 'C 1 2/m 1'
_symmetry_Int_Tables_number 12
loop_
_symmetry_equiv_pos_as_xyz
'x,y,z'
'-x,-y,-z'
'-x,y,-z'
'x,-y,z'
'x+1/2,y+1/2,z'
'-x+1/2,-y+1/2,-z'
'-x+1/2,y+1/2,-z'
'x+1/2,-y+1/2,z'
loop_
_atom_site_label
_atom_site_fract_x
_atom_site_fract_y
_atom_site_fract_z
Ce1 0.176 0.000 0.289
Pm1 0.000 0.500 0.500
Pm2 0.122 0.000 0.890
Rh1 0.102 0.500 0.114
Rh2 0.190 0.000 0.588
# Crystal system: monoclinic
# Total magnetization: 0.0 μB/f.u.
# Calculated formation energy: -572 kJ/mol of formula units
# Fermi-level density of states: 1.002 states/eV/atom


2.
# CePm2Rh9 | Alexandria | PBE | optimized geometry
data_CePm2Rh9
_chemical_formula_sum 'Ce3 Pm6 Rh27'
_cell_length_a 5.2921
_cell_length_b 5.2921
_cell_length_c 26.6100
_cell_angle_alpha 90.00
_cell_angle_beta 90.00
_cell_angle_gamma 120.00
_symmetry_space_group_name_H-M 'R -3 m'
_symmetry_Int_Tables_number 166
_symmetry_space_group_name_Hall '-R 3 2"'
loop_
_atom_site_label
_atom_site_fract_x
_atom_site_fract_y
_atom_site_fract_z
Ce1 0.0000 0.0000 0.0000
Pm1 0.0000 0.0000 0.1389
Rh1 0.0000 0.0000 0.3330
Rh2 0.0000 0.0000 0.5000
Rh3 0.0001 0.5001 0.0820
# Crystal system: trigonal
# Total magnetization: 0.0 μB/f.u.
# Calculated formation energy: -623 kJ/mol of formula units
# Fermi-level density of states: 0.987 states/eV/atom


3.
# CePm2Rh | Alexandria | PBE | optimized geometry
data_CePm2Rh
_chemical_formula_sum 'Ce4 Pm8 Rh4'
_cell_length_a 7.149
_cell_length_b 9.892
_cell_length_c 6.480
_cell_angle_alpha 90.00
_cell_angle_beta 90.00
_cell_angle_gamma 90.00
_symmetry_space_group_name_H-M 'P n m a'
_symmetry_Int_Tables_number 62
loop_
_symmetry_equiv_pos_as_xyz
'x,y,z'
'-x,-y,-z'
'-x+1/2,-y,z+1/2'
'x+1/2,y,-z+1/2'
'x+1/2,-y+1/2,-z+1/2'
'-x+1/2,y+1/2,z+1/2'
'-x,y+1/2,-z'
'x,-y+1/2,z'
loop_
_atom_site_label
_atom_site_fract_x
_atom_site_fract_y
_atom_site_fract_z
Ce1 0.040 0.250 0.157
Pm1 0.179 0.065 0.666
Rh1 0.131 0.750 0.467
# Crystal system: orthorhombic
# Excess energy over the best structure of this formula in the dataset: 0.000 eV per atom
# Total magnetization: 0.8 μB/f.u.
# Calculated formation energy: -158 kJ/mol of formula units
# Fermi-level density of states: 2.022 states/eV/atom